RbCr2CoF8 | PBE with a Hubbard U | relaxed

Unit cell a=5.0364 b=5.1395 c=6.8122 alpha=89.59 beta=89.53 gamma=86.05
With the nearest neighbours (Å) after each atom.
Fractional positions:
Rb (0.0000, 0.0000, 0.0000)  6 F 2.55-2.59
Cr (0.5001, 0.5001, 0.2622)  6 F 1.98-2.15
Cr (0.4999, 0.4999, 0.7378)  6 F 1.98-2.15
Co (0.0000, 0.0000, 0.5000)  4 F 2.03-2.04
F (0.2297, 0.7932, 0.6989)  1 Cr 1.98, 1 Co 2.03
F (0.2317, 0.7949, 0.3005)  1 Cr 1.98, 1 Co 2.04
F (0.3000, 0.3240, 0.5005)  2 Cr 2.13-2.15, 1 Co 2.32
F (0.3274, 0.3661, 0.0004)  2 Cr 2.11-2.13, 1 F 2.29
F (0.6726, 0.6339, 0.9996)  2 Cr 2.11-2.13, 1 F 2.29
F (0.7000, 0.6760, 0.4995)  2 Cr 2.13-2.15, 1 Co 2.32
F (0.7683, 0.2051, 0.6995)  1 Cr 1.98, 1 Co 2.04
F (0.7703, 0.2068, 0.3011)  1 Cr 1.98, 1 Co 2.03

Its density of states at the Fermi level is 0.023 states/eV per atom. The symmetry is P-1, No. 2. As for the uncorrected energy: -5.449 eV/atom.